1.
A plane-wave DFT calculation with PBE-GGA was carried out for an optimized crystal structure of Zr3Tl.

Properties
Raw total energy in eV per cell: -57.01
Calculated formation energy in eV per atom: -0.12

abc: 5.6624 5.6624 5.6624
angles: 90.00 90.00 90.00
Fractional coordinates of all 8 atoms:
Zr 0.0000 0.2500 0.5000
Zr 0.0000 0.7500 0.5000
Zr 0.2500 0.5000 0.0000
Zr 0.5000 0.0000 0.2500
Zr 0.5000 0.0000 0.7500
Zr 0.7500 0.5000 0.0000
Tl 0.0000 0.0000 0.0000
Tl 0.5000 0.5000 0.5000


2.
A plane-wave DFT calculation with PBE-GGA was carried out for an optimized crystal structure of Zr5Tl.

Properties
Raw total energy in eV per cell: -45.12
Calculated formation energy in eV per atom: 0.00

abc: 5.2500 8.4137 8.4137
angles: 22.05 90.00 90.00
Fractional coordinates of all 6 atoms:
Zr 0.0000 0.0000 0.0000
Zr 0.0000 0.3276 0.3276
Zr 0.0000 0.6621 0.6621
Zr 0.5000 0.1155 0.1155
Zr 0.5000 0.4470 0.4470
Tl 0.5000 0.7781 0.7781


Repeat the second record exactly.
A plane-wave DFT calculation with PBE-GGA was carried out for an optimized crystal structure of Zr5Tl.

Properties
Raw total energy in eV per cell: -45.12
Calculated formation energy in eV per atom: 0.00

abc: 5.2500 8.4137 8.4137
angles: 22.05 90.00 90.00
Fractional coordinates of all 6 atoms:
Zr 0.0000 0.0000 0.0000
Zr 0.0000 0.3276 0.3276
Zr 0.0000 0.6621 0.6621
Zr 0.5000 0.1155 0.1155
Zr 0.5000 0.4470 0.4470
Tl 0.5000 0.7781 0.7781